# 1
Density functional theory data (PBE) for a relaxed structure of Pm3BeP2Rh9.

Lattice parameters (Å, degrees): 6.2427 6.2427 7.6145 90.00 90.00 120.00
Last column: nearest neighbours and their distance in Å.
Fractional positions:
Pm 0.0000 0.0000 0.0000  12 Rh 3.08-3.12
Pm 0.3333 0.6667 0.6596  12 Rh 3.10-3.16
Pm 0.6667 0.3333 0.3404  12 Rh 3.10-3.16
Be 0.0000 0.0000 0.5000  6 Rh 2.15
P 0.3333 0.6667 0.1791  6 Rh 2.20-2.26
P 0.6667 0.3333 0.8209  6 Rh 2.20-2.26
Rh 0.0000 0.5000 0.0000  2 P 2.26
Rh 0.1613 0.3225 0.3341  1 Be 2.15, 1 P 2.20
Rh 0.1613 0.8387 0.3341  1 Be 2.15, 1 P 2.20
Rh 0.3225 0.1613 0.6659  1 Be 2.15, 1 P 2.20
Rh 0.5000 0.0000 0.0000  2 P 2.26
Rh 0.5000 0.5000 0.0000  2 P 2.26
Rh 0.6775 0.8387 0.3341  1 Be 2.15, 1 P 2.20
Rh 0.8387 0.1613 0.6659  1 Be 2.15, 1 P 2.20
Rh 0.8387 0.6775 0.6659  1 Be 2.15, 1 P 2.20

Results
- energy of formation (eV per atom) = -0.733
- symmetry = P-3m1, No. 164
- calculated total energy (eV for the cell shown) = -105.95

***

# 2
Density functional theory data (PBE) for a relaxed structure of Be2OsCSe.

Lattice parameters (Å, degrees): 3.4896 3.4896 5.0877 90.00 90.00 90.00
Last column: nearest neighbours and their distance in Å.
Fractional positions:
Be 0.0000 0.5000 0.0000  2 C 1.74
Be 0.5000 0.0000 0.0000  2 C 1.74
Os 0.0000 0.0000 0.5000  4 Se 2.47
C 0.5000 0.5000 0.0000  4 Be 1.74
Se 0.5000 0.5000 0.5000  4 Os 2.47, 2 C 2.54

Results
- uncorrected formation energy (kcal/mol of atoms) = 19.652
- symmetry = P4/mmm, No. 123
- calculated total energy (eV for the cell shown) = -27.13

***

# 3
Density functional theory data (PBE) for a relaxed structure of CsVZn.

Lattice parameters (Å, degrees): 4.8219 5.2388 11.2727 87.97 84.62 62.72
Last column: nearest neighbours and their distance in Å.
Fractional positions:
Cs 0.0000 0.0000 0.0000  1 Zn 3.62, 4 V 3.94-4.02
Cs 0.3667 0.4797 0.4305  2 Zn 3.61-3.70, 2 V 3.72
V 0.5802 0.5286 0.7342  1 V 1.87
V 0.9673 0.5299 0.7344  1 V 1.87
Zn 0.0444 0.0130 0.6773  2 Zn 2.43, 2 V 2.65
Zn 0.5234 0.0469 0.6960  2 Zn 2.43, 3 V 2.62-2.71

Results
- energy of formation (eV per atom) = 0.467
- symmetry = P1, No. 1
- calculated total energy (eV for the cell shown) = -19.69

***

# 4
Density functional theory data (PBE) for a relaxed structure of Ho4GaPd2.

Lattice parameters (Å, degrees): 8.5393 8.5393 8.5393 33.58 33.58 33.58
Last column: nearest neighbours and their distance in Å.
Fractional positions:
Ho 0.1214 0.1214 0.1214  4 Pd 2.99-3.11, 3 Ga 3.05
Ho 0.3729 0.3729 0.3729  4 Pd 2.97-3.04, 1 Ga 3.07
Ho 0.6271 0.6271 0.6271  4 Pd 2.97-3.04, 1 Ga 3.07
Ho 0.8786 0.8786 0.8786  4 Pd 2.99-3.11, 3 Ga 3.05
Ga 0.5000 0.5000 0.5000  8 Ho 3.05-3.07
Pd 0.2501 0.2501 0.2501  8 Ho 2.97-3.11
Pd 0.7499 0.7499 0.7499  8 Ho 2.97-3.11

Results
- energy of formation (eV per atom) = -0.637
- symmetry = R-3m, No. 166
- calculated total energy (eV for the cell shown) = -36.18